A relaxed SrPmB12 crystal. Source: Alexandria, functional PBE.

Calculated values
- Calculated density: 4.2 g/cm³
- Energy relative to the elements: -0.464 eV/atom
- Crystal system: cubic

Geometry as POSCAR:
```
SrPmB12
1.0
-1.1556 -3.3631 4.6808
4.3167 -1.4432 3.7200
0.1306 2.3281 5.3961
Sr Pm B
1 1 12
Direct
0.0000 0.0000 0.0000 Sr
0.5000 0.5000 0.5000 Pm
0.8996 0.8996 0.6004 B
0.3996 0.3996 0.1004 B
0.6004 0.8996 0.6004 B
0.1004 0.3996 0.1004 B
0.8996 0.6004 0.6004 B
0.3996 0.1004 0.1004 B
0.8996 0.6004 0.8996 B
0.3996 0.1004 0.3996 B
0.6004 0.8996 0.8996 B
0.1004 0.3996 0.3996 B
0.6004 0.6004 0.8996 B
0.1004 0.1004 0.3996 B
```

=====

A relaxed TlMo2Rh crystal. Source: Alexandria, functional PBE.

Calculated values
- Calculated density: 12.4 g/cm³
- Energy relative to the elements: 0.319 eV/atom
- Crystal system: orthorhombic
- Energy above the most stable polymorph in this dataset: 21 meV/atom

Geometry as POSCAR:
```
TlMo2Rh
1.0
5.2830 -0.0064 -0.0828
2.4959 4.6563 0.0828
-3.8364 -2.4137 2.7154
Mo Rh Tl
2 1 1
Direct
0.9999 0.9999 0.0000 Mo
0.5001 0.5001 0.0000 Mo
0.7500 0.2500 0.5000 Rh
0.2500 0.7500 0.5000 Tl
```

=====

A relaxed K2TiTlSe4 crystal. Source: Alexandria, functional PBE.

Calculated values
- Calculated density: 3.8 g/cm³
- Formation energy from raw total energies: -0.8799 eV per atom
- Crystal system: orthorhombic

Geometry as POSCAR:
```
K2TiTlSe4
1.0
6.8299 0.0000 0.0000
3.4149 6.9398 0.0000
3.4149 0.0000 11.8984
K Ti Tl Se
4 2 2 8
Direct
0.1859 0.0000 0.6282 K
0.8141 0.0000 0.3718 K
0.5641 0.5000 0.8718 K
0.9359 0.5000 0.1282 K
0.2500 0.5000 0.5000 Ti
0.5000 0.0000 0.0000 Ti
0.7500 0.5000 0.5000 Tl
0.0000 0.0000 0.0000 Tl
0.3349 0.7973 0.1162 Se
0.2484 0.2027 0.8838 Se
0.8678 0.7973 0.8838 Se
0.5489 0.2027 0.1162 Se
0.4151 0.7027 0.3838 Se
0.5016 0.2973 0.6162 Se
0.8822 0.7027 0.6162 Se
0.2011 0.2973 0.3838 Se
```

=====

A relaxed MnPd4Au4 crystal. Source: Alexandria, functional PBE.

Calculated values
- Calculated density: 14.3 g/cm³
- Energy relative to the elements: -0.151 eV/atom
- Crystal system: tetragonal
- Energy above the most stable polymorph in this dataset: 0 meV/atom

Geometry as POSCAR:
```
MnPd4Au4
1.0
3.7903 0.0000 1.2836
1.8952 6.0760 0.6418
-0.0538 0.0000 6.3967
Mn Pd Au
1 4 4
Direct
0.0000 0.0000 0.0000 Mn
0.3372 0.3257 0.0000 Pd
0.6628 0.6743 0.0000 Pd
0.6628 0.0000 0.6743 Pd
0.3372 0.0000 0.3257 Pd
0.0000 0.6733 0.3266 Au
0.0000 0.3267 0.6734 Au
0.6733 0.3266 0.3267 Au
0.3267 0.6734 0.6733 Au
```

=====

A relaxed Ti2AlPt crystal. Source: Alexandria, functional PBE.

Calculated values
- Calculated density: 8.2 g/cm³
- Energy relative to the elements: -0.601 eV/atom
- Crystal system: tetragonal

Geometry as POSCAR:
```
Ti2AlPt
1.0
-1.1790 -2.4505 -2.0276
-0.9074 -1.8134 2.7193
-5.0048 2.4423 -0.0414
Al Pt Ti
1 1 2
Direct
0.5000 0.5000 0.5000 Al
0.5000 0.5000 0.0000 Pt
0.0000 0.0000 0.7528 Ti
0.0000 0.0000 0.2472 Ti
```

=====

A relaxed Na2LiTl crystal. Source: Alexandria, functional PBE.

Calculated values
- Calculated density: 3.8 g/cm³
- Energy relative to the elements: -0.029 eV/atom
- Crystal system: tetragonal
- Energy above the most stable polymorph in this dataset: 70 meV/atom

Geometry as POSCAR:
```
Na2LiTl
1.0
3.8633 0.0000 0.0000
0.0000 3.8633 0.0000
0.0000 0.0000 7.4835
Na Tl Li
2 1 1
Direct
0.0000 0.0000 0.7500 Na
0.0000 0.0000 0.2500 Na
0.5000 0.5000 0.0000 Tl
0.5000 0.5000 0.5000 Li
```

=====

- Number 6 is which compound?
  Na2LiTl

=====

- What is the calculated density in the fifth record?
  8.2 g/cm³

=====

- What is the calculated density in the sixth record?
  3.8 g/cm³